Below is Ba6Bi3F after structural relaxation, with properties calculated at the PBE level.

**N(E_F)**: 11.8 states/eV per cell
**Space group**: Cmc2_1
**Density**: 5115 kg/m3
**ΔE_f (raw)**: -1.200 eV per atom

Lattice parameters (Å, degrees): 10.908 10.908 8.215 90.00 90.00 102.48
Fractional positions:
Ba 0.046 0.954 0.500
Ba 0.110 0.579 0.473
Ba 0.220 0.780 0.956
Ba 0.318 0.359 0.953
Ba 0.359 0.318 0.453
Ba 0.421 0.890 0.473
Ba 0.579 0.110 0.973
Ba 0.641 0.682 0.953
Ba 0.682 0.641 0.453
Ba 0.780 0.220 0.456
Ba 0.890 0.421 0.973
Ba 0.954 0.046 0.000
Bi 0.065 0.281 0.680
Bi 0.281 0.065 0.180
Bi 0.383 0.617 0.234
Bi 0.617 0.383 0.734
Bi 0.719 0.935 0.680
Bi 0.935 0.719 0.180
F 0.196 0.804 0.621
F 0.804 0.196 0.121

---

Below is TiPt2N after structural relaxation, with properties calculated at the PBE level.

**N(E_F)**: 10.9 states/eV per cell
**Space group**: I-42d
**Density**: 10943 kg/m3
**ΔE_f (raw)**: 0.192 eV per atom

Lattice parameters (Å, degrees): 6.679 6.679 6.679 136.94 136.94 62.53
Fractional positions:
Ti 0.000 0.000 0.000
Ti 0.750 0.250 0.500
Pt 0.221 0.625 0.096
Pt 0.375 0.471 0.596
Pt 0.529 0.125 0.904
Pt 0.875 0.779 0.404
N 0.250 0.750 0.500
N 0.500 0.500 0.000

---

Below is Pr5HoHg6 after structural relaxation, with properties calculated at the PBE level.

**N(E_F)**: 13.0 states/eV per cell
**Space group**: Cmmm
**E_form**: -0.469 eV/atom
**Density**: 10133 kg/m3

Lattice parameters (Å, degrees): 8.585 8.585 7.707 90.00 90.00 143.26
Fractional positions:
Pr 0.000 0.000 0.000
Pr 0.331 0.669 0.000
Pr 0.333 0.667 0.500
Pr 0.667 0.333 0.500
Pr 0.669 0.331 0.000
Ho 0.000 0.000 0.500
Hg 0.162 0.838 0.256
Hg 0.162 0.838 0.744
Hg 0.500 0.500 0.260
Hg 0.500 0.500 0.740
Hg 0.838 0.162 0.256
Hg 0.838 0.162 0.744

---

Below is SrSmGe2Pt5 after structural relaxation, with properties calculated at the PBE level.

**N(E_F)**: 4.4 states/eV per cell
**Space group**: P4/mmm
**E_form**: -0.720 eV/atom
**Density**: 12946 kg/m3

Lattice parameters (Å, degrees): 4.465 4.465 8.741 90.00 90.00 90.00
Fractional positions:
Sr 0.000 0.000 0.000
Sm 0.000 0.000 0.500
Ge 0.500 0.500 0.355
Ge 0.500 0.500 0.645
Pt 0.000 0.500 0.238
Pt 0.000 0.500 0.762
Pt 0.500 0.000 0.238
Pt 0.500 0.000 0.762
Pt 0.500 0.500 0.000

---

Below is BaOsRu after structural relaxation, with properties calculated at the PBE level.

**N(E_F)**: 6.6 states/eV per cell
**E above lowest polymorph**: 0 meV per atom
**Space group**: P2_1/m
**E_form**: 0.333 eV/atom
**Density**: 8580 kg/m3

Lattice parameters (Å, degrees): 4.420 4.300 8.743 90.00 93.06 90.00
Fractional positions:
Ba 0.242 0.250 0.318
Ba 0.758 0.750 0.682
Os 0.187 0.750 0.002
Os 0.813 0.250 0.998
Ru 0.329 0.250 0.868
Ru 0.671 0.750 0.132

---

Below is Pr8Er5Pu after structural relaxation, with properties calculated at the PBE level.

**N(E_F)**: 22.8 states/eV per cell
**Space group**: C2
**E_form**: 0.213 eV/atom
**Density**: 7558 kg/m3

Lattice parameters (Å, degrees): 8.640 8.640 9.474 122.68 122.68 62.01
Fractional positions:
Pr 0.031 0.031 0.360
Pr 0.128 0.474 0.570
Pr 0.418 0.090 0.832
Pr 0.418 0.227 0.288
Pr 0.526 0.872 0.430
Pr 0.773 0.582 0.712
Pr 0.910 0.582 0.168
Pr 0.969 0.969 0.640
Er 0.225 0.585 0.049
Er 0.415 0.775 0.951
Er 0.598 0.322 0.777
Er 0.678 0.402 0.223
Er 0.967 0.033 0.000
Pu 0.325 0.675 0.500

---

Below is GeHPt2Rh after structural relaxation, with properties calculated at the PBE level.

**N(E_F)**: 1.3 states/eV per cell
**Space group**: P4/mmm
**E_tot**: -5.61 eV per atom
**Density**: 14714 kg/m3

Lattice parameters (Å, degrees): 3.973 3.973 4.051 90.00 90.00 90.00
Fractional positions:
Ge 0.000 0.000 0.000
H 0.500 0.500 0.500
Pt 0.000 0.500 0.500
Pt 0.500 0.000 0.500
Rh 0.500 0.500 0.000

---

Below is CaSb2 after structural relaxation, with properties calculated at the PBE level.

**N(E_F)**: 2.6 states/eV per cell
**Space group**: P-3m1
**Density**: 5074 kg/m3
**ΔE_f (raw)**: -0.156 eV per atom

Lattice parameters (Å, degrees): 3.496 3.496 8.769 90.00 90.00 120.00
Fractional positions:
Ca 0.000 0.000 0.000
Sb 0.333 0.667 0.295
Sb 0.667 0.333 0.705

---

Below is RbInHg after structural relaxation, with properties calculated at the PBE level.

**N(E_F)**: 3.3 states/eV per cell
**E above lowest polymorph**: 23 meV per atom
**Space group**: P2/c
**E_form**: -0.111 eV/atom
**Density**: 6109 kg/m3

Lattice parameters (Å, degrees): 4.055 12.687 5.799 90.00 133.09 90.00
Fractional positions:
Rb 0.000 0.240 0.250
Rb 0.000 0.760 0.750
In 0.000 0.453 0.750
In 0.000 0.547 0.250
Hg 0.000 0.054 0.750
Hg 0.000 0.946 0.250

---

Below is Er3ZnHg2 after structural relaxation, with properties calculated at the PBE level.

**N(E_F)**: 10.2 states/eV per cell
**E above lowest polymorph**: 9 meV per atom
**Space group**: P-3m1
**E_form**: -0.425 eV/atom
**Density**: 11067 kg/m3

Lattice parameters (Å, degrees): 5.143 5.143 12.684 90.00 90.00 120.00
Fractional positions:
Er 0.000 0.000 0.245
Er 0.000 0.000 0.755
Er 0.333 0.667 0.413
Er 0.333 0.667 0.918
Er 0.667 0.333 0.082
Er 0.667 0.333 0.587
Zn 0.333 0.667 0.166
Zn 0.667 0.333 0.834
Hg 0.000 0.000 0.000
Hg 0.000 0.000 0.500
Hg 0.333 0.667 0.673
Hg 0.667 0.333 0.327

---

Below is Ta2MnSe6 after structural relaxation, with properties calculated at the PBE level.

**N(E_F)**: 4.4 states/eV per cell
**E above lowest polymorph**: 0 meV per atom
**Space group**: C2/m
**Density**: 6998 kg/m3
**ΔE_f (raw)**: -0.676 eV per atom

Lattice parameters (Å, degrees): 7.580 7.580 8.749 110.60 110.60 26.80
Fractional positions:
Ta 0.174 0.174 0.351
Ta 0.826 0.826 0.649
Mn 0.500 0.500 0.000
Se 0.017 0.017 0.810
Se 0.318 0.318 0.865
Se 0.363 0.363 0.459
Se 0.637 0.637 0.541
Se 0.682 0.682 0.135
Se 0.983 0.983 0.190

---

Below is Sc2TiNi2 after structural relaxation, with properties calculated at the PBE level.

**N(E_F)**: 12.8 states/eV per cell
**E above lowest polymorph**: 213 meV per atom
**Space group**: P4/mbm
**E_form**: -0.137 eV/atom
**Density**: 5128 kg/m3

Lattice parameters (Å, degrees): 7.565 7.565 2.888 90.00 90.00 90.00
Fractional positions:
Sc 0.147 0.353 0.000
Sc 0.353 0.853 0.000
Sc 0.647 0.147 0.000
Sc 0.853 0.647 0.000
Ti 0.000 0.000 0.000
Ti 0.500 0.500 0.000
Ni 0.152 0.652 0.500
Ni 0.348 0.152 0.500
Ni 0.652 0.848 0.500
Ni 0.848 0.348 0.500